(1)
The following is a PBE-GGA calculation of a relaxed Pr4CoNi crystal, from Alexandria via LeMat-Bulk.

Cell lengths 6.9283, 6.9522, 9.3072 Å; angles 118.45, 118.39, 73.95 degrees
With the nearest neighbours (Å) after each atom.
Atoms (fractional coordinates):
Pr 0.0483 0.2988 0.0942  2 Co 2.82-2.89, 2 Ni 2.87-2.94
Pr 0.5459 0.7954 0.0942  2 Co 2.82-2.89, 2 Ni 2.87-2.94
Pr 0.2981 0.5288 0.5916  1 Co 2.67, 1 Ni 2.75
Pr 0.7019 0.4712 0.4084  1 Co 2.67, 1 Ni 2.75
Pr 0.2066 0.9373 0.4084  1 Co 2.67, 1 Ni 2.75
Pr 0.4541 0.2046 0.9058  2 Co 2.82-2.89, 2 Ni 2.87-2.94
Pr 0.7934 0.0627 0.5916  1 Co 2.67, 1 Ni 2.75
Pr 0.9517 0.7012 0.9058  2 Co 2.82-2.89, 2 Ni 2.87-2.94
Co 0.3364 0.5864 0.1728  6 Pr 2.67-2.89
Co 0.6636 0.4136 0.8272  6 Pr 2.67-2.89
Ni 0.1585 0.9085 0.8170  6 Pr 2.75-2.94
Ni 0.8415 0.0915 0.1830  6 Pr 2.75-2.94

ΔE_f = -0.047 eV per atom
total magnetization = 0.00 μB/f.u.
relative energy among the computed polymorphs = 10 meV/atom
Fermi-level density of states = 14.687 states/eV per cell
E = -5.38 eV/atom
space-group type = C2/c, No. 15


(2)
The following is a PBE-GGA calculation of a relaxed ScCd3 crystal, from Alexandria via LeMat-Bulk.

Cell lengths 3.2737, 5.2882, 5.5506 Å; angles 101.54, 90.00, 71.97 degrees
With the nearest neighbours (Å) after each atom.
Atoms (fractional coordinates):
Sc 0.2500 0.5000 0.2500  10 Cd 3.08-3.22, 2 Sc 3.27
Cd 0.0005 0.9991 0.0001  9 Cd 3.07-3.27, 3 Sc 3.08-3.11
Cd 0.4995 0.0009 0.4999  9 Cd 3.07-3.27, 3 Sc 3.08-3.11
Cd 0.7500 0.5000 0.7500  8 Cd 3.07-3.27, 4 Sc 3.22

ΔE_f = -0.122 eV per atom
total magnetization = 0.00 μB/f.u.
Fermi-level density of states = 2.557 states/eV per cell
E = -2.39 eV/atom
space-group type = C2/m, No. 12


(3)
The following is a PBE-GGA calculation of a relaxed Na3Dy3InS8 crystal, from Alexandria via LeMat-Bulk.

Cell lengths 7.8776, 7.8778, 8.1422 Å; angles 118.95, 90.00, 120.00 degrees
With the nearest neighbours (Å) after each atom.
Atoms (fractional coordinates):
Na 0.0000 0.0000 0.0000  6 S 2.93
Na 0.0000 0.5000 0.0000  6 S 2.92-2.93
Na 0.5000 0.5000 0.0000  6 S 2.92-2.93
Dy 0.5000 0.0000 0.5000  6 S 2.74-2.75
Dy 0.5000 0.5000 0.5000  6 S 2.74-2.75
Dy 0.0000 0.5000 0.5000  6 S 2.74-2.75
In 0.0000 0.0000 0.5000  6 S 2.68
S 0.2577 0.5155 0.2735  3 Dy 2.74, 3 Na 2.93
S 0.7423 0.4845 0.7265  3 Dy 2.74, 3 Na 2.93
S 0.7632 0.5263 0.2776  1 In 2.68, 2 Dy 2.75, 2 Na 2.93
S 0.2368 0.4737 0.7224  1 In 2.68, 2 Dy 2.75, 2 Na 2.93
S 0.7631 0.0141 0.2775  1 In 2.68, 2 Dy 2.75, 2 Na 2.92-2.93
S 0.2369 0.9859 0.7225  1 In 2.68, 2 Dy 2.75, 2 Na 2.92-2.93
S 0.2511 0.0141 0.2775  1 In 2.68, 2 Dy 2.75, 2 Na 2.92-2.93
S 0.7489 0.9859 0.7225  1 In 2.68, 2 Dy 2.75, 2 Na 2.92-2.93

total magnetization = 0.00 μB/f.u.
Fermi-level density of states = 12.611 states/eV per cell
E = -5.05 eV/atom
space-group type = R-3m, No. 166


(4)
The following is a PBE-GGA calculation of a relaxed Y2TlCl crystal, from Alexandria via LeMat-Bulk.

Cell lengths 3.4724, 3.4724, 8.2429 Å; angles 90.00, 90.00, 90.00 degrees
With the nearest neighbours (Å) after each atom.
Atoms (fractional coordinates):
Cl 0.5000 0.5000 0.2500  8 Y 3.18, 4 Cl 3.47
Tl 0.5000 0.5000 0.7500  8 Y 3.23, 4 Tl 3.47
Y 0.0000 0.0000 0.0042  4 Cl 3.18, 4 Tl 3.23, 4 Y 3.47
Y 0.0000 0.0000 0.4958  4 Cl 3.18, 4 Tl 3.23, 4 Y 3.47

total magnetization = 0.15 μB/f.u.
relative energy among the computed polymorphs = 229 meV/atom
Fermi-level density of states = 4.400 states/eV per cell
E = -4.95 eV/atom
space-group type = P4/mmm, No. 123


(5)
The following is a PBE-GGA calculation of a relaxed PrNd6Y crystal, from Alexandria via LeMat-Bulk.

Cell lengths 5.1944, 5.1944, 10.3813 Å; angles 90.00, 90.00, 90.00 degrees
With the nearest neighbours (Å) after each atom.
Atoms (fractional coordinates):
Pr 0.0000 0.0000 0.0000  12 Nd 3.67-3.69
Nd 0.5000 0.5000 0.0000  4 Pr 3.67, 8 Nd 3.69
Nd 0.5000 0.5000 0.5000  8 Nd 3.66, 4 Y 3.67
Nd 0.5000 0.0000 0.2519  2 Y 3.66, 8 Nd 3.66-3.69, 2 Pr 3.69
Nd 0.5000 0.0000 0.7481  2 Y 3.66, 8 Nd 3.66-3.69, 2 Pr 3.69
Nd 0.0000 0.5000 0.2519  8 Nd 3.66-3.69, 2 Y 3.66, 2 Pr 3.69
Nd 0.0000 0.5000 0.7481  8 Nd 3.66-3.69, 2 Y 3.66, 2 Pr 3.69
Y 0.0000 0.0000 0.5000  12 Nd 3.66-3.67

ΔE_f = 0.014 eV per atom
total magnetization = 0.00 μB/f.u.
Fermi-level density of states = 13.445 states/eV per cell
E = -4.97 eV/atom
space-group type = P4/mmm, No. 123


(6)
The following is a PBE-GGA calculation of a relaxed NaPm2AlO5 crystal, from Alexandria via LeMat-Bulk.

Cell lengths 5.6697, 6.6418, 6.6418 Å; angles 90.00, 90.00, 90.00 degrees
With the nearest neighbours (Å) after each atom.
Atoms (fractional coordinates):
Na 0.0000 0.5000 0.5000  10 O 2.83-2.91
Na 0.0000 0.0000 0.0000  10 O 2.83-2.91
Pm 0.5000 0.6788 0.1788  8 O 2.33-2.59
Pm 0.5000 0.1788 0.3212  8 O 2.33-2.59
Pm 0.5000 0.8212 0.6788  8 O 2.33-2.59
Pm 0.5000 0.3212 0.8212  8 O 2.33-2.59
Al 0.0000 0.0000 0.5000  4 O 1.82
Al 0.0000 0.5000 0.0000  4 O 1.82
O 0.5000 0.5000 0.5000  4 Pm 2.44
O 0.5000 0.0000 0.0000  4 Pm 2.44
O 0.2325 0.1332 0.6332  1 Al 1.82
O 0.2325 0.8668 0.3668  1 Al 1.82
O 0.2325 0.3668 0.1332  1 Al 1.82
O 0.2325 0.6332 0.8668  1 Al 1.82
O 0.7675 0.1332 0.6332  1 Al 1.82
O 0.7675 0.6332 0.8668  1 Al 1.82
O 0.7675 0.8668 0.3668  1 Al 1.82
O 0.7675 0.3668 0.1332  1 Al 1.82

total magnetization = 0.00 μB/f.u.
Fermi-level density of states = 0.000 states/eV per cell
E = -7.17 eV/atom
space-group type = P4/mbm, No. 127


Q: Which formula does entry 3 have?
A: Na3Dy3InS8


Q: What is the Fermi-level density of states in the fifth record?
A: 13.445 states/eV per cell